Version A
Computed, not measured: a relaxed structure of DyTmAg at the PBE level of DFT.

a = 5.021 Å, b = 5.021 Å, c = 3.618 Å
α = 90.00°, β = 90.00°, γ = 120.00°
Atoms (fractional coordinates):
Dy  0.000  0.000  0.000
Tm  0.333  0.667  0.462
Ag  0.667  0.333  0.708

The space-group type is No. 156.

***

Version B
Computed, not measured: a relaxed structure of DyTmAg at the PBE level of DFT.

a = 8.632 Å, b = 8.627 Å, c = 7.063 Å
α = 65.88°, β = 65.80°, γ = 48.32°
Atoms (fractional coordinates):
Dy  0.000  0.000  0.250
Dy  0.000  0.000  0.750
Dy  0.250  0.250  0.000
Dy  0.750  0.750  0.000
Tm  0.250  0.250  0.500
Tm  0.500  0.500  0.250
Tm  0.500  0.500  0.750
Tm  0.750  0.750  0.500
Ag  0.127  0.623  0.623
Ag  0.377  0.873  0.873
Ag  0.623  0.127  0.127
Ag  0.873  0.377  0.377

The space-group type is No. 70.

***

Version C
Computed, not measured: a relaxed structure of DyTmAg at the PBE level of DFT.

a = 12.876 Å, b = 3.721 Å, c = 8.353 Å
α = 90.00°, β = 126.50°, γ = 90.00°
Atoms (fractional coordinates):
Dy  0.102  0.000  0.376
Dy  0.398  0.500  0.624
Dy  0.602  0.500  0.376
Dy  0.898  0.000  0.624
Tm  0.149  0.500  0.058
Tm  0.351  0.000  0.942
Tm  0.649  0.000  0.058
Tm  0.851  0.500  0.942
Ag  0.130  0.500  0.684
Ag  0.370  0.000  0.316
Ag  0.630  0.000  0.684
Ag  0.870  0.500  0.316

The space-group type is No. 12.

***

The data favor version C; the next most stable structure lies 135 meV per atom above it.

***

Version A
Computed, not measured: a relaxed structure of DyTmAg at the PBE level of DFT.

a = 8.624 Å, b = 8.624 Å, c = 8.624 Å
α = 33.65°, β = 33.65°, γ = 33.65°
Atoms (fractional coordinates):
Dy  0.124  0.124  0.124
Dy  0.876  0.876  0.876
Tm  0.374  0.374  0.374
Tm  0.626  0.626  0.626
Ag  0.251  0.251  0.251
Ag  0.749  0.749  0.749

The space-group type is No. 166.

***

Version B
Computed, not measured: a relaxed structure of DyTmAg at the PBE level of DFT.

a = 3.566 Å, b = 3.566 Å, c = 12.443 Å
α = 90.00°, β = 90.00°, γ = 90.00°
Atoms (fractional coordinates):
Dy  0.000  0.000  0.000
Dy  0.500  0.500  0.500
Tm  0.000  0.000  0.701
Tm  0.500  0.500  0.201
Ag  0.000  0.000  0.346
Ag  0.500  0.500  0.846

The space-group type is No. 107.

***

The data favor version B; the next most stable structure lies 214 meV per atom above it.

***

Version A
Computed, not measured: a relaxed structure of DyTmAg4 at the PBE level of DFT.

a = 5.682 Å, b = 5.682 Å, c = 5.682 Å
α = 60.00°, β = 60.00°, γ = 60.00°
Atoms (fractional coordinates):
Dy  0.000  0.000  0.000
Tm  0.250  0.250  0.250
Ag  0.125  0.625  0.625
Ag  0.625  0.125  0.625
Ag  0.625  0.625  0.125
Ag  0.625  0.625  0.625

The space-group type is No. 216.

***

Version B
Computed, not measured: a relaxed structure of DyTmAg4 at the PBE level of DFT.

a = 5.265 Å, b = 9.226 Å, c = 5.262 Å
α = 90.00°, β = 91.86°, γ = 90.00°
Atoms (fractional coordinates):
Dy  0.000  0.000  0.000
Dy  0.500  0.500  0.000
Tm  0.000  0.500  0.500
Tm  0.500  0.000  0.500
Ag  0.000  0.170  0.500
Ag  0.000  0.332  0.000
Ag  0.000  0.668  0.000
Ag  0.000  0.830  0.500
Ag  0.500  0.168  0.000
Ag  0.500  0.330  0.500
Ag  0.500  0.670  0.500
Ag  0.500  0.832  0.000

The space-group type is No. 12.

***

The data favor version B; the next most stable structure lies 147 meV per atom above it.

***

Version A
Computed, not measured: a relaxed structure of DyTm2Ag at the PBE level of DFT.

a = 3.561 Å, b = 3.561 Å, c = 30.615 Å
α = 90.00°, β = 90.00°, γ = 120.00°
Atoms (fractional coordinates):
Dy  0.000  0.000  0.000
Dy  0.333  0.667  0.667
Dy  0.667  0.333  0.333
Tm  0.000  0.000  0.574
Tm  0.000  0.000  0.759
Tm  0.333  0.667  0.241
Tm  0.333  0.667  0.425
Tm  0.667  0.333  0.092
Tm  0.667  0.333  0.907
Ag  0.000  0.000  0.166
Ag  0.333  0.667  0.833
Ag  0.667  0.333  0.500

The space-group type is No. 160.

***

Version B
Computed, not measured: a relaxed structure of DyTm2Ag at the PBE level of DFT.

a = 3.509 Å, b = 3.509 Å, c = 31.108 Å
α = 90.00°, β = 90.00°, γ = 120.00°
Atoms (fractional coordinates):
Dy  0.000  0.000  0.000
Dy  0.333  0.667  0.667
Dy  0.667  0.333  0.333
Tm  0.000  0.000  0.241
Tm  0.000  0.000  0.759
Tm  0.333  0.667  0.425
Tm  0.333  0.667  0.908
Tm  0.667  0.333  0.092
Tm  0.667  0.333  0.575
Ag  0.000  0.000  0.500
Ag  0.333  0.667  0.167
Ag  0.667  0.333  0.833

The space-group type is No. 166.

***

The data favor version B; the next most stable structure lies 8 meV per atom above it.